[1]
La2NdGaCl3: relaxed, PBE.

The calculation puts the total energy at -4.902 eV per atom. The magnetic moment comes out at 0.0 μB per formula unit.

The space group is P4/mmm (No. 123) and the conventional cell measures 5.930, 5.930 and 5.891 Å, with angles of 90.00, 90.00 and 90.00 degrees. The inequivalent atoms are La at (0.000, 0.500, 0.000), Nd at (0.000, 0.000, 0.500), Ga at (0.000, 0.000, 0.000), Cl at (0.000, 0.500, 0.500) and Cl at (0.500, 0.500, 0.000).

[2]
NaZrGa2Cl6: relaxed, PBE.

The calculation puts the total energy at -3.909 eV per atom. The magnetic moment comes out at 1.0 μB per formula unit.

The space group is Fm-3m (No. 225) and the conventional cell measures 10.295, 10.295 and 10.295 Å, with angles of 90.00, 90.00 and 90.00 degrees. The inequivalent atoms are Na at (0.000, 0.000, 0.000), Zr at (0.000, 0.000, 0.500), Ga at (0.250, 0.250, 0.250) and Cl at (0.000, 0.000, 0.256).

- What is the formula in the second record?
  NaZrGa2Cl6

- The lowest magnetic moment belongs to which entry?
  La2NdGaCl3

Repeat the first record exactly.
La2NdGaCl3: relaxed, PBE.

The calculation puts the total energy at -4.902 eV per atom. The magnetic moment comes out at 0.0 μB per formula unit.

The space group is P4/mmm (No. 123) and the conventional cell measures 5.930, 5.930 and 5.891 Å, with angles of 90.00, 90.00 and 90.00 degrees. The inequivalent atoms are La at (0.000, 0.500, 0.000), Nd at (0.000, 0.000, 0.500), Ga at (0.000, 0.000, 0.000), Cl at (0.000, 0.500, 0.500) and Cl at (0.500, 0.500, 0.000).

- magnetic moment of number 2 (NaZrGa2Cl6)?
  1.0 μB per formula unit